DFT (PBE) results for a relaxed Ba2OsBr crystal. Values from VASP.

Geometry as Quantum ESPRESSO input:
```
&SYSTEM
  ibrav = 0, nat = 8, ntyp = 3
/
ATOMIC_SPECIES
Ba 137.33 Ba.upf
Os 190.23 Os.upf
Br 79.90 Br.upf
CELL_PARAMETERS angstrom
3.940 0.000 0.000
0.000 4.046 0.000
0.000 0.000 17.484
ATOMIC_POSITIONS crystal
Ba 0.000 0.000 0.000
Ba 0.000 0.500 0.281
Ba 0.500 0.000 0.781
Ba 0.500 0.500 0.500
Os 0.000 0.000 0.410
Os 0.500 0.500 0.910
Br 0.000 0.500 0.668
Br 0.500 0.000 0.168
```

Summary:
V in A^3/atom: 34.84
DOS(E_F) in states/eV per atom: 1.31
Uncorrected formation energy in eV per atom: -0.12
M_tot in μB per cell: 0.71
Space-group type: Imm2, No. 44

---

DFT (PBE) results for a relaxed BaNa2PdF crystal. Values from VASP.

Geometry as Quantum ESPRESSO input:
```
&SYSTEM
  ibrav = 0, nat = 5, ntyp = 4
/
ATOMIC_SPECIES
Ba 137.33 Ba.upf
Na 22.99 Na.upf
Pd 106.42 Pd.upf
F 19.00 F.upf
CELL_PARAMETERS angstrom
4.631 0.000 0.000
0.000 4.631 0.000
0.000 0.000 5.635
ATOMIC_POSITIONS crystal
Ba 0.000 0.000 0.000
Na 0.000 0.500 0.500
Na 0.500 0.000 0.500
Pd 0.500 0.500 0.000
F 0.000 0.000 0.500
```

Summary:
V in A^3/atom: 24.17
DOS(E_F) in states/eV per atom: 0.19
Uncorrected formation energy in eV per atom: -1.19
M_tot in μB per cell: 0.00
Space-group type: P4/mmm, No. 123

---

DFT (PBE) results for a relaxed SiSb2Os crystal. Values from VASP.

Geometry as Quantum ESPRESSO input:
```
&SYSTEM
  ibrav = 0, nat = 4, ntyp = 3
/
ATOMIC_SPECIES
Si 28.09 Si.upf
Sb 121.76 Sb.upf
Os 190.23 Os.upf
CELL_PARAMETERS angstrom
3.225 0.000 0.000
0.000 3.225 0.000
0.000 0.000 7.925
ATOMIC_POSITIONS crystal
Si 0.000 0.000 0.000
Sb 0.000 0.000 0.376
Sb 0.500 0.500 0.768
Os 0.500 0.500 0.135
```

Summary:
V in A^3/atom: 20.60
DOS(E_F) in states/eV per atom: 0.79
Uncorrected formation energy in eV per atom: 0.19
M_tot in μB per cell: 0.49
Space-group type: P4mm, No. 99

---

DFT (PBE) results for a relaxed Cs3URh2Se6 crystal. Values from VASP.

Geometry as Quantum ESPRESSO input:
```
&SYSTEM
  ibrav = 0, nat = 12, ntyp = 4
/
ATOMIC_SPECIES
Cs 132.91 Cs.upf
U 238.03 U.upf
Rh 102.91 Rh.upf
Se 78.96 Se.upf
CELL_PARAMETERS angstrom
3.432 -5.946 0.000
3.432 5.946 0.000
-2.307 0.000 8.290
ATOMIC_POSITIONS crystal
Cs 0.000 0.000 0.000
Cs 0.337 0.663 0.000
Cs 0.663 0.337 0.000
U 0.500 0.500 0.500
Rh 0.167 0.833 0.500
Rh 0.833 0.167 0.500
Se 0.084 0.443 0.330
Se 0.198 0.198 0.669
Se 0.443 0.084 0.330
Se 0.557 0.916 0.670
Se 0.802 0.802 0.331
Se 0.916 0.557 0.670
```

Summary:
V in A^3/atom: 28.20
DOS(E_F) in states/eV per atom: 0.60
Uncorrected formation energy in eV per atom: -0.80
M_tot in μB per cell: 2.61
Space-group type: C2/m, No. 12